PBE Sm2AuS, optimized geometry; formation energy (no corrections) = -1.342 eV/atom; relative energy among the computed polymorphs = 61 meV per atom
1.0
-2.516 -3.074 0.712
1.087 -3.764 -0.971
2.408 -3.129 6.439
Sm S Au
2 1 1
Direct
0.744 0.744 0.768 Sm
0.256 0.256 0.232 Sm
0.000 0.000 0.000 S
0.500 0.500 0.500 Au